DFT (GGA+U) results for a relaxed structure of CaFe3O6.

a = 7.056 Å, b = 7.056 Å, c = 5.290 Å
α = 90.00°, β = 90.00°, γ = 117.40°
Element x y z (fractional)
Ca 0.193 0.807 0.500
Ca 0.807 0.193 0.000
Fe 0.129 0.258 0.492
Fe 0.258 0.129 0.992
Fe 0.354 0.646 0.040
Fe 0.646 0.354 0.540
Fe 0.742 0.871 0.492
Fe 0.871 0.742 0.992
O 0.020 0.980 0.688
O 0.154 0.491 0.294
O 0.189 0.811 0.994
O 0.232 0.384 0.835
O 0.384 0.232 0.335
O 0.491 0.154 0.794
O 0.509 0.846 0.294
O 0.616 0.768 0.835
O 0.768 0.616 0.335
O 0.811 0.189 0.494
O 0.846 0.509 0.794
O 0.980 0.020 0.188

Total moment in μB/f.u.: 14.00
Final energy in eV/atom: -6.45
Calculated density in g cm⁻³: 4.3
SG: Cmc2_1, No. 36